(1)
## Ca3Tl7Cd2 (GGA-PBE)

Data for a geometry-optimized Ca3Tl7Cd2 structure.

Lattice parameters (Å, degrees): 5.320 3.905 17.357 90.00 98.78 90.00
Positions (direct):
Tl  0.593  0.000  0.180
Tl  0.000  0.000  0.000
Tl  0.229  0.000  0.458
Tl  0.407  0.000  0.820
Tl  0.922  0.500  0.849
Tl  0.771  0.000  0.542
Tl  0.078  0.500  0.151
Ca  0.685  0.500  0.365
Ca  0.315  0.500  0.635
Ca  0.500  0.500  0.000
Cd  0.148  0.000  0.290
Cd  0.852  0.000  0.710

Computed properties:
- excess energy over the best structure of this formula in the dataset (meV per atom) = 2
- space group = No. 10

=====

(2)
## Ca2TlCd (GGA-PBE)

Data for a geometry-optimized Ca2TlCd structure.

Lattice parameters (Å, degrees): 5.457 5.457 5.457 60.00 60.00 60.00
Positions (direct):
Cd  0.500  0.500  0.500
Tl  0.750  0.750  0.750
Ca  0.250  0.250  0.250
Ca  0.000  0.000  0.000

Computed properties:
- DFT total energy (eV/atom) = -2.000
- space group = No. 216

=====

(3)
## Ca2TlCd4 (GGA-PBE)

Data for a geometry-optimized Ca2TlCd4 structure.

Lattice parameters (Å, degrees): 6.016 6.016 8.600 99.19 99.42 122.80
Positions (direct):
Cd  0.799  0.798  0.598
Cd  0.000  0.500  0.000
Cd  0.500  0.000  0.000
Cd  0.201  0.202  0.402
Tl  0.000  0.000  0.000
Ca  0.606  0.606  0.211
Ca  0.394  0.394  0.789

Computed properties:
- DFT total energy (eV/atom) = -1.443
- space group = No. 2

=====

(4)
## Ca3Tl7Cd2 (GGA-PBE)

Data for a geometry-optimized Ca3Tl7Cd2 structure.

Lattice parameters (Å, degrees): 3.897 5.321 17.278 97.49 90.00 90.00
Positions (direct):
Tl  0.000  0.593  0.153
Tl  0.000  0.000  0.000
Tl  0.500  0.108  0.181
Tl  0.500  0.268  0.542
Tl  0.500  0.732  0.458
Tl  0.000  0.407  0.847
Tl  0.500  0.892  0.819
Ca  0.000  0.195  0.367
Ca  0.000  0.805  0.633
Ca  0.500  0.500  0.000
Cd  0.500  0.662  0.290
Cd  0.500  0.338  0.710

Computed properties:
- excess energy over the best structure of this formula in the dataset (meV per atom) = 0
- space group = No. 10

=====

(5)
## Ca6Tl2Cd (GGA-PBE)

Data for a geometry-optimized Ca6Tl2Cd structure.

Lattice parameters (Å, degrees): 5.629 5.627 10.523 90.01 90.00 120.01
Positions (direct):
Ca  0.667  0.333  0.944
Ca  0.333  0.667  0.056
Ca  0.667  0.333  0.589
Ca  0.000  0.000  0.798
Ca  0.000  0.000  0.202
Ca  0.333  0.667  0.411
Tl  0.666  0.333  0.258
Tl  0.334  0.667  0.742
Cd  0.000  0.000  0.500

Computed properties:
- excess energy over the best structure of this formula in the dataset (meV per atom) = 17
- space group = No. 164

=====

(6)
## CaTl3Cd (GGA-PBE)

Data for a geometry-optimized CaTl3Cd structure.

Lattice parameters (Å, degrees): 5.169 6.448 9.707 118.37 90.00 90.00
Positions (direct):
Tl  0.015  0.465  0.114
Tl  0.015  0.855  0.934
Tl  0.015  0.237  0.695
Tl  0.515  0.303  0.270
Tl  0.515  0.531  0.688
Tl  0.515  0.912  0.449
Cd  0.015  0.037  0.310
Cd  0.515  0.731  0.073
Ca  0.015  0.635  0.521
Ca  0.515  0.132  0.863

Computed properties:
- excess energy over the best structure of this formula in the dataset (meV per atom) = 0
- space group = No. 11

=====

(7)
## Ca2Tl3Cd (GGA-PBE)

Data for a geometry-optimized Ca2Tl3Cd structure.

Lattice parameters (Å, degrees): 6.396 6.396 9.653 102.51 102.51 110.27
Positions (direct):
Cd  0.668  0.668  0.335
Cd  0.332  0.332  0.665
Ca  0.752  0.752  0.000
Ca  0.750  0.250  0.500
Ca  0.248  0.248  0.000
Ca  0.250  0.750  0.500
Tl  0.171  0.658  0.829
Tl  0.832  0.832  0.663
Tl  0.658  0.171  0.829
Tl  0.342  0.829  0.171
Tl  0.829  0.342  0.171
Tl  0.168  0.168  0.337

Computed properties:
- excess energy over the best structure of this formula in the dataset (meV per atom) = 0
- space group = No. 69

=====

(8)
## CaTlCd (GGA-PBE)

Data for a geometry-optimized CaTlCd structure.

Lattice parameters (Å, degrees): 5.071 5.071 5.071 60.00 60.00 60.00
Positions (direct):
Ca  0.500  0.500  0.500
Cd  0.250  0.250  0.250
Tl  0.000  0.000  0.000

Computed properties:
- DFT total energy (eV/atom) = -1.946
- space group = No. 216

=====

(9)
## CaTl2Cd2 (GGA-PBE)

Data for a geometry-optimized CaTl2Cd2 structure.

Lattice parameters (Å, degrees): 5.198 5.198 6.500 66.43 66.43 59.99
Positions (direct):
Tl  0.404  0.904  0.788
Tl  0.596  0.096  0.212
Ca  0.000  0.500  0.000
Cd  0.205  0.705  0.385
Cd  0.795  0.295  0.615

Computed properties:
- excess energy over the best structure of this formula in the dataset (meV per atom) = 5
- space group = No. 166

=====

(10)
## CaTl3Cd (GGA-PBE)

Data for a geometry-optimized CaTl3Cd structure.

Lattice parameters (Å, degrees): 5.633 5.633 5.633 90.00 90.00 90.00
Positions (direct):
Tl  0.000  0.000  0.500
Tl  0.000  0.500  0.000
Tl  0.500  0.000  0.000
Cd  0.000  0.000  0.000
Ca  0.500  0.500  0.500

Computed properties:
- excess energy over the best structure of this formula in the dataset (meV per atom) = 322
- space group = No. 221

=====

(11)
## CaTl4Cd2 (GGA-PBE)

Data for a geometry-optimized CaTl4Cd2 structure.

Lattice parameters (Å, degrees): 5.273 5.273 8.905 72.78 72.78 60.00
Positions (direct):
Tl  0.136  0.136  0.593
Tl  0.607  0.607  0.178
Tl  0.864  0.864  0.407
Tl  0.393  0.393  0.822
Cd  0.261  0.261  0.216
Cd  0.739  0.739  0.784
Ca  0.000  0.000  0.000

Computed properties:
- excess energy over the best structure of this formula in the dataset (meV per atom) = 0
- space group = No. 166

=====

(12)
## Ca3Tl4Cd4 (GGA-PBE)

Data for a geometry-optimized Ca3Tl4Cd4 structure.

Lattice parameters (Å, degrees): 3.722 5.134 16.128 80.35 83.49 90.01
Positions (direct):
Ca  0.860  0.351  0.283
Ca  0.140  0.649  0.717
Ca  0.000  0.000  0.000
Tl  0.683  0.193  0.631
Tl  0.535  0.551  0.903
Tl  0.465  0.449  0.097
Tl  0.317  0.807  0.369
Cd  0.263  0.258  0.471
Cd  0.591  0.096  0.816
Cd  0.737  0.742  0.529
Cd  0.409  0.904  0.184

Computed properties:
- excess energy over the best structure of this formula in the dataset (meV per atom) = 0
- space group = No. 2